{"formula": "CaMgB6H22O22", "functional": "PBEsol", "state": "relaxed", "cell": [[6.8993, -0.0556, 0.0199], [3.0539, 6.1868, 0.0199], [-0.0480, -0.0296, 18.9697]], "species": ["Ca", "Ca", "Mg", "Mg", "B", "B", "B", "B", "B", "B", "B", "B", "B", "B", "B", "B", "H", "H", "H", "H", "H", "H", "H", "H", "H", "H", "H", "H", "H", "H", "H", "H", "H", "H", "H", "H", "H", "H", "H", "H", "H", "H", "H", "H", "H", "H", "H", "H", "H", "H", "H", "H", "H", "H", "H", "H", "H", "H", "H", "H", "O", "O", "O", "O", "O", "O", "O", "O", "O", "O", "O", "O", "O", "O", "O", "O", "O", "O", "O", "O", "O", "O", "O", "O", "O", "O", "O", "O", "O", "O", "O", "O", "O", "O", "O", "O", "O", "O", "O", "O", "O", "O", "O", "O"], "fractional_positions": [[0.7898, 0.2102, 0.2500], [0.2102, 0.7898, 0.7500], [0.0000, 0.0000, 0.0000], [0.0000, 0.0000, 0.5000], [0.1534, 0.0548, 0.1492], [0.9452, 0.8466, 0.3508], [0.8466, 0.9452, 0.8508], [0.0548, 0.1534, 0.6492], [0.0586, 0.7425, 0.1422], [0.2575, 0.9414, 0.3578], [0.9414, 0.2575, 0.8578], [0.7425, 0.0586, 0.6422], [0.4382, 0.6803, 0.1618], [0.3197, 0.5618, 0.3382], [0.5618, 0.3197, 0.8382], [0.6803, 0.4382, 0.6618], [0.2153, 0.1974, 0.0606], [0.8026, 0.7847, 0.4394], [0.7847, 0.8026, 0.9394], [0.1974, 0.2153, 0.5606], [0.0671, 0.3784, 0.1907], [0.6216, 0.9329, 0.3093], [0.9329, 0.6216, 0.8093], [0.3784, 0.0671, 0.6907], [0.7554, 0.5979, 0.1749], [0.4021, 0.2446, 0.3251], [0.2446, 0.4021, 0.8251], [0.5979, 0.7554, 0.6749], [0.8841, 0.7375, 0.2299], [0.2625, 0.1159, 0.2701], [0.1159, 0.2625, 0.7701], [0.7375, 0.8841, 0.7299], [0.1138, 0.6050, 0.0428], [0.3950, 0.8862, 0.4572], [0.8862, 0.3950, 0.9572], [0.6050, 0.1138, 0.5428], [0.6536, 0.1895, 0.0872], [0.8105, 0.3464, 0.4128], [0.3464, 0.8105, 0.9128], [0.1895, 0.6536, 0.5872], [0.5540, 0.2593, 0.0103], [0.7407, 0.4460, 0.4897], [0.4460, 0.7407, 0.9897], [0.2593, 0.5540, 0.5103], [0.4948, 0.0667, 0.1634], [0.9333, 0.5052, 0.3366], [0.5052, 0.9333, 0.8366], [0.0667, 0.4948, 0.6634], [0.4212, 0.3298, 0.1605], [0.6702, 0.5788, 0.3395], [0.5788, 0.6702, 0.8395], [0.3298, 0.4212, 0.6605], [0.7121, 0.4710, 0.0396], [0.5290, 0.2879, 0.4604], [0.2879, 0.5290, 0.9604], [0.4710, 0.7121, 0.5396], [0.8012, 0.6549, 0.0449], [0.3451, 0.1988, 0.4551], [0.1988, 0.3451, 0.9551], [0.6549, 0.8012, 0.5449], [0.0085, 0.9594, 0.1636], [0.0406, 0.9915, 0.3364], [0.9915, 0.0406, 0.8364], [0.9594, 0.0085, 0.6636], [0.1161, 0.1393, 0.0762], [0.8607, 0.8839, 0.4238], [0.8839, 0.8607, 0.9238], [0.1393, 0.1161, 0.5762], [0.1098, 0.2239, 0.2032], [0.7761, 0.8902, 0.2968], [0.8902, 0.7761, 0.7968], [0.2239, 0.1098, 0.7032], [0.3828, 0.8967, 0.1576], [0.1033, 0.6172, 0.3424], [0.6172, 0.1033, 0.8424], [0.8967, 0.3828, 0.6576], [0.2917, 0.5980, 0.1513], [0.4020, 0.7083, 0.3487], [0.7083, 0.4020, 0.8487], [0.5980, 0.2917, 0.6513], [0.6457, 0.5336, 0.1765], [0.4664, 0.3543, 0.3235], [0.3543, 0.4664, 0.8235], [0.5336, 0.6457, 0.6765], [0.9374, 0.6542, 0.1842], [0.3458, 0.0626, 0.3158], [0.0626, 0.3458, 0.8158], [0.6542, 0.9374, 0.6842], [0.0055, 0.7394, 0.0653], [0.2606, 0.9945, 0.4347], [0.9945, 0.2606, 0.9347], [0.7394, 0.0055, 0.5653], [0.6921, 0.2147, 0.0370], [0.7853, 0.3079, 0.4630], [0.3079, 0.7853, 0.9630], [0.2147, 0.6921, 0.5370], [0.5466, 0.1824, 0.1613], [0.8176, 0.4534, 0.3387], [0.4534, 0.8176, 0.8387], [0.1824, 0.5466, 0.6613], [0.7130, 0.6007, 0.0160], [0.3993, 0.2870, 0.4840], [0.2870, 0.3993, 0.9840], [0.6007, 0.7130, 0.5160]], "vol_a3_per_cell": 812.9, "crystal_system": "monoclinic", "e_tot_ev_per_atom": -6.1469}


{"formula": "CaB4H20N2", "functional": "PBEsol", "state": "relaxed", "cell": [[7.6235, 0.0000, 0.0339], [0.0000, 8.0230, 0.0000], [-3.5188, 0.0000, 6.7629]], "species": ["Ca", "Ca", "B", "B", "B", "B", "B", "B", "B", "B", "H", "H", "H", "H", "H", "H", "H", "H", "H", "H", "H", "H", "H", "H", "H", "H", "H", "H", "H", "H", "H", "H", "H", "H", "H", "H", "H", "H", "H", "H", "H", "H", "H", "H", "H", "H", "H", "H", "H", "H", "N", "N", "N", "N"], "fractional_positions": [[0.1968, 0.0000, 0.1968], [0.6968, 0.5000, 0.6968], [0.9893, 0.5568, 0.5676], [0.5676, 0.4432, 0.9893], [0.4893, 0.9432, 0.0676], [0.0676, 0.0568, 0.4893], [0.9323, 0.2265, 0.9155], [0.9155, 0.7735, 0.9323], [0.4323, 0.2735, 0.4155], [0.4155, 0.7265, 0.4323], [0.4202, 0.5932, 0.1221], [0.1221, 0.4068, 0.4202], [0.9202, 0.9068, 0.6221], [0.6221, 0.0932, 0.9202], [0.0631, 0.5953, 0.3265], [0.3265, 0.4047, 0.0631], [0.5631, 0.9047, 0.8265], [0.8265, 0.0953, 0.5631], [0.2706, 0.5477, 0.8862], [0.8862, 0.4523, 0.2706], [0.7706, 0.9523, 0.3862], [0.3862, 0.0477, 0.7706], [0.6584, 0.5681, 0.9816], [0.9816, 0.4319, 0.6584], [0.1584, 0.9319, 0.4816], [0.4816, 0.0681, 0.1584], [0.8365, 0.6389, 0.5082], [0.5082, 0.3611, 0.8365], [0.3365, 0.8611, 0.0082], [0.0082, 0.1389, 0.3365], [0.6283, 0.8540, 0.1722], [0.1722, 0.1460, 0.6283], [0.1283, 0.6460, 0.6722], [0.6722, 0.3540, 0.1283], [0.9727, 0.6279, 0.9604], [0.9604, 0.3721, 0.9727], [0.4727, 0.8721, 0.4604], [0.4604, 0.1279, 0.4727], [0.0337, 0.8537, 0.8976], [0.8976, 0.1463, 0.0337], [0.5337, 0.6463, 0.3976], [0.3976, 0.3537, 0.5337], [0.7524, 0.7873, 0.7871], [0.7871, 0.2127, 0.7524], [0.2524, 0.7127, 0.2871], [0.2871, 0.2873, 0.2524], [0.4045, 0.6745, 0.5794], [0.5794, 0.3255, 0.4045], [0.9045, 0.8255, 0.0794], [0.0794, 0.1745, 0.9045], [0.3841, 0.5014, 0.0159], [0.0159, 0.4986, 0.3841], [0.8841, 0.9986, 0.5159], [0.5159, 0.0014, 0.8841]], "vol_a3_per_cell": 414.6, "crystal_system": "orthorhombic", "e_tot_ev_per_atom": -4.5177}


{"formula": "CaB2H10N2", "functional": "PBEsol", "state": "relaxed", "cell": [[4.1757, 0.0000, 0.0000], [-2.0879, 4.5043, 0.0196], [0.0000, -0.3506, 6.3145]], "species": ["H", "H", "H", "H", "H", "H", "H", "H", "H", "H", "Ca", "B", "B", "N", "N"], "fractional_positions": [[0.4233, 0.7253, 0.4231], [0.6980, 0.2747, 0.5769], [0.3671, 0.3153, 0.6861], [0.0518, 0.6847, 0.3139], [0.9487, 0.1426, 0.3001], [0.8061, 0.8574, 0.6999], [0.1736, 0.7058, 0.7368], [0.4678, 0.2942, 0.2632], [0.1603, 0.2924, 0.0184], [0.8679, 0.7076, 0.9816], [0.5492, 0.0000, 0.0000], [0.2076, 0.3387, 0.2159], [0.8690, 0.6613, 0.7841], [0.2798, 0.6599, 0.2835], [0.6199, 0.3401, 0.7165]], "vol_a3_per_cell": 118.8, "crystal_system": "monoclinic", "e_tot_ev_per_atom": -4.8700}


{"formula": "CaB2H13N3", "functional": "PBEsol", "state": "relaxed", "cell": [[6.9366, 0.0000, 0.0000], [0.0000, 9.9169, 0.0433], [0.0000, -4.6845, 8.8950]], "species": ["Ca", "Ca", "Ca", "Ca", "B", "B", "B", "B", "B", "B", "B", "B", "H", "H", "H", "H", "H", "H", "H", "H", "H", "H", "H", "H", "H", "H", "H", "H", "H", "H", "H", "H", "H", "H", "H", "H", "H", "H", "H", "H", "H", "H", "H", "H", "H", "H", "H", "H", "H", "H", "H", "H", "H", "H", "H", "H", "H", "H", "H", "H", "H", "H", "H", "H", "N", "N", "N", "N", "N", "N", "N", "N", "N", "N", "N", "N"], "fractional_positions": [[0.2258, 0.0995, 0.7908], [0.7258, 0.4005, 0.2092], [0.7742, 0.9005, 0.2092], [0.2742, 0.5995, 0.7908], [0.5940, 0.7319, 0.3485], [0.0940, 0.7681, 0.6515], [0.4060, 0.2681, 0.6515], [0.9060, 0.2319, 0.3485], [0.9192, 0.2681, 0.8941], [0.4192, 0.2319, 0.1059], [0.0808, 0.7319, 0.1059], [0.5808, 0.7681, 0.8941], [0.4252, 0.7691, 0.3458], [0.9252, 0.7309, 0.6542], [0.5748, 0.2309, 0.6542], [0.0748, 0.2691, 0.3458], [0.6940, 0.8498, 0.4135], [0.1940, 0.6502, 0.5865], [0.3060, 0.1502, 0.5865], [0.8060, 0.3498, 0.4135], [0.6523, 0.6683, 0.2139], [0.1523, 0.8317, 0.7861], [0.3477, 0.3317, 0.7861], [0.8477, 0.1683, 0.2139], [0.4903, 0.6203, 0.4743], [0.9903, 0.8797, 0.5257], [0.5097, 0.3797, 0.5257], [0.0097, 0.1203, 0.4743], [0.7210, 0.6582, 0.5012], [0.2210, 0.8418, 0.4988], [0.2790, 0.3418, 0.4988], [0.7790, 0.1582, 0.5012], [0.8864, 0.1511, 0.9077], [0.3864, 0.3489, 0.0923], [0.1136, 0.8489, 0.0923], [0.6136, 0.6511, 0.9077], [0.9509, 0.2207, 0.7563], [0.4509, 0.2793, 0.2437], [0.0491, 0.7793, 0.2437], [0.5491, 0.7207, 0.7563], [0.0748, 0.3189, 0.9594], [0.5748, 0.1811, 0.0406], [0.9252, 0.6811, 0.0406], [0.4252, 0.8189, 0.9594], [0.8044, 0.4929, 0.9774], [0.3044, 0.0071, 0.0226], [0.1956, 0.5071, 0.0226], [0.6956, 0.9929, 0.9774], [0.6375, 0.3612, 0.9036], [0.1375, 0.1388, 0.0964], [0.3625, 0.6388, 0.0964], [0.8625, 0.8612, 0.9036], [0.1606, 0.4407, 0.2300], [0.6606, 0.0593, 0.7700], [0.8394, 0.5593, 0.7700], [0.3394, 0.9407, 0.2300], [0.0664, 0.6056, 0.2617], [0.5664, 0.8944, 0.7383], [0.9336, 0.3944, 0.7383], [0.4336, 0.1056, 0.2617], [0.0700, 0.5539, 0.3957], [0.5700, 0.9461, 0.6043], [0.9300, 0.4461, 0.6043], [0.4300, 0.0539, 0.3957], [0.6142, 0.6255, 0.4214], [0.1142, 0.8745, 0.5786], [0.3858, 0.3745, 0.5786], [0.8858, 0.1255, 0.4214], [0.7631, 0.3882, 0.9647], [0.2631, 0.1118, 0.0353], [0.2369, 0.6118, 0.0353], [0.7369, 0.8882, 0.9647], [0.0478, 0.5136, 0.2822], [0.5478, 0.9864, 0.7178], [0.9522, 0.4864, 0.7178], [0.4522, 0.0136, 0.2822]], "vol_a3_per_cell": 613.3, "crystal_system": "monoclinic", "e_tot_ev_per_atom": -4.9055}